(1)
A relaxed structure of Tm2ThSc. Source: Alexandria via LeMat-Bulk, functional PBE.

Computed properties:
- Energy above the lowest structure with this stoichiometry: 0.013 eV/f.u.
- Energy: -5.636 eV per atom
- Formation enthalpy at 0 K: 0.2 eV per formula unit
- Mass density: 8.7 g cm⁻³

Unit cell a=4.9668 b=4.8481 c=4.8481 alpha=90.00 beta=90.00 gamma=90.00
Fractional coordinates of all 4 atoms:
Sc 0.5000 0.0000 0.0000
Tm 0.0000 0.0000 0.5000
Tm 0.0000 0.5000 0.0000
Th 0.5000 0.5000 0.5000



(2)
A relaxed structure of YU2FeC4. Source: Alexandria via LeMat-Bulk, functional PBE.

Computed properties:
- Energy: -9.388 eV per atom
- Formation enthalpy at 0 K: -0.7 eV per formula unit
- Mass density: 9.8 g cm⁻³

Unit cell a=3.5181 b=5.8439 c=11.5222 alpha=90.00 beta=90.00 gamma=107.52
Fractional coordinates of all 16 atoms:
U 0.6303 0.2605 0.0510
U 0.3697 0.7395 0.5510
U 0.3697 0.7395 0.9490
U 0.6303 0.2605 0.4490
C 0.0000 0.0000 0.5000
C 0.5705 0.1411 0.2500
C 0.0000 0.0000 0.0000
C 0.7413 0.4826 0.6213
C 0.4295 0.8589 0.7500
C 0.7413 0.4826 0.8787
C 0.2587 0.5174 0.3787
C 0.2587 0.5174 0.1213
Fe 0.1600 0.3200 0.2500
Fe 0.8400 0.6800 0.7500
Y 0.1044 0.2088 0.7500
Y 0.8956 0.7912 0.2500



(3)
A relaxed structure of ZrTe2PN. Source: Alexandria via LeMat-Bulk, functional PBE.

Computed properties:
- Energy above the lowest structure with this stoichiometry: 0.000 eV/f.u.
- Energy: -5.395 eV per atom
- Mass density: 6.4 g cm⁻³

Unit cell a=5.5354 b=5.5354 c=3.3394 alpha=90.00 beta=90.00 gamma=90.00
Each line ends with the local moment (μB).
Fractional coordinates of all 5 atoms:
P 0.0000 0.0000 0.0000  0.01
Te 0.5000 0.0000 0.0000  -0.01
Te 0.0000 0.5000 0.0000  -0.01
N 0.0000 0.0000 0.5000  -0.01
Zr 0.5000 0.5000 0.5000  0.23